(1)
The following is a GGA-PBE calculation of a geometry-optimized ZnInCu3 structure, from the Alexandria database.

Summary:
Energy above the most stable polymorph in this dataset: 0.0 meV per atom
Spin magnetization: 0.00 μB per formula unit
DFT formation energy: 0.159 eV/atom

```
10
Lattice="6.1768 0.0000 0.0000 -3.0884 5.3493 0.0000 0.0000 0.0000 4.7987" Properties=species:S:1:pos:R:3 pbc="T T T"
Zn 0.0000 0.0000 0.0000
Zn 0.0000 0.0000 2.3994
In 0.0000 3.5662 1.1997
In 3.0884 1.7831 3.5990
Cu 0.0000 2.1427 3.5990
Cu -1.2328 4.2779 3.5990
Cu 1.8556 1.0713 1.1997
Cu 1.2328 4.2779 3.5990
Cu 4.3212 1.0713 1.1997
Cu 3.0884 3.2066 1.1997
```

---

(2)
The following is a GGA-PBE calculation of a geometry-optimized ZnInCu2 structure, from the Alexandria database.

Summary:
Spin magnetization: 0.00 μB per formula unit
DFT formation energy: 0.197 eV/atom

```
4
Lattice="1.8619 1.0749 5.9487 -1.8619 1.0749 5.9487 0.0000 -2.1499 5.9487" Properties=species:S:1:pos:R:3 pbc="T T T"
Zn 0.0000 0.0000 0.0000
In 0.0000 0.0000 3.0368
Cu 0.0000 0.0000 10.6452
Cu 0.0000 0.0000 13.1986
```

---

(3)
The following is a GGA-PBE calculation of a geometry-optimized Zn2InCu structure, from the Alexandria database.

Summary:
Spin magnetization: 0.00 μB per formula unit
DFT formation energy: 0.115 eV/atom

```
4
Lattice="2.6383 -4.8853 0.0000 2.6383 4.8853 0.0000 -1.5117 0.0000 2.7180" Properties=species:S:1:pos:R:3 pbc="T T T"
Zn 1.3192 2.4426 0.0000
Zn 1.3192 -2.4426 0.0000
In 0.0000 0.0000 0.0000
Cu 2.6383 0.0000 0.0000
```

---

(4)
The following is a GGA-PBE calculation of a geometry-optimized ZnInCu2 structure, from the Alexandria database.

Summary:
Spin magnetization: 0.00 μB per formula unit
DFT formation energy: 0.058 eV/atom

```
4
Lattice="3.2577 0.0000 0.0000 0.0000 3.2577 0.0000 0.0000 0.0000 5.8775" Properties=species:S:1:pos:R:3 pbc="T T T"
Zn 0.0000 0.0000 0.0000
In 1.6289 1.6289 4.0393
Cu 0.0000 0.0000 2.4783
Cu 1.6289 1.6289 1.2110
```

---

(5)
The following is a GGA-PBE calculation of a geometry-optimized Zn3InCu structure, from the Alexandria database.

Summary:
Energy above the most stable polymorph in this dataset: 0.0 meV per atom
Spin magnetization: 0.00 μB per formula unit
DFT formation energy: 0.217 eV/atom

```
5
Lattice="4.6844 0.0000 0.0000 0.0000 4.6844 0.0000 0.0000 0.0000 4.6844" Properties=species:S:1:pos:R:3 pbc="T T T"
Zn 0.0000 0.0000 2.3422
Zn 0.0000 2.3422 0.0000
Zn 2.3422 0.0000 0.0000
In 2.3422 2.3422 2.3422
Cu 0.0000 0.0000 0.0000
```

---

(6)
The following is a GGA-PBE calculation of a geometry-optimized Zn4InCu structure, from the Alexandria database.

Summary:
Spin magnetization: 0.00 μB per formula unit
DFT formation energy: 0.117 eV/atom

```
6
Lattice="0.0000 3.6652 3.6652 3.6652 0.0000 3.6652 3.6652 3.6652 0.0000" Properties=species:S:1:pos:R:3 pbc="T T T"
Zn 0.9091 0.9091 0.9091
Zn 2.7561 2.7561 0.9091
Zn 2.7561 0.9091 2.7561
Zn 0.9091 2.7561 2.7561
In 3.6652 3.6652 3.6652
Cu 5.4978 5.4978 5.4978
```

---

(7)
The following is a GGA-PBE calculation of a geometry-optimized Zn2InCu structure, from the Alexandria database.

Summary:
Spin magnetization: 0.00 μB per formula unit
DFT formation energy: 0.103 eV/atom

```
4
Lattice="-2.0385 2.0385 3.9962 2.0385 -2.0385 3.9962 2.0385 2.0385 -3.9962" Properties=species:S:1:pos:R:3 pbc="T T T"
Zn 0.0000 0.0000 0.0000
Zn 0.0000 2.0385 1.9981
In 2.0385 0.0000 1.9981
Cu 0.0000 0.0000 3.9962
```

---

(8)
The following is a GGA-PBE calculation of a geometry-optimized ZnInCu2 structure, from the Alexandria database.

Summary:
Spin magnetization: 0.00 μB per formula unit
DFT formation energy: 0.028 eV/atom

```
4
Lattice="2.9577 0.0000 0.0000 0.0000 4.3466 0.0000 0.0000 0.0000 4.7781" Properties=species:S:1:pos:R:3 pbc="T T T"
Zn 0.0000 0.0000 0.0000
In 0.0000 2.1733 1.8475
Cu 1.4788 0.0000 2.6598
Cu 1.4788 2.1733 4.2174
```

---

(9)
The following is a GGA-PBE calculation of a geometry-optimized ZnIn2Cu2 structure, from the Alexandria database.

Summary:
Energy above the most stable polymorph in this dataset: 255.0 meV per atom
Spin magnetization: 0.00 μB per formula unit
DFT formation energy: 0.337 eV/atom

```
5
Lattice="-2.1443 2.1443 5.5971 2.1443 -2.1443 5.5971 2.1443 2.1443 -5.5971" Properties=species:S:1:pos:R:3 pbc="T T T"
Zn 0.0000 0.0000 0.0000
In 2.1443 0.0000 2.7985
In 0.0000 2.1443 2.7985
Cu 0.0000 0.0000 4.4321
Cu 0.0000 0.0000 6.7620
```

---

(10)
The following is a GGA-PBE calculation of a geometry-optimized Zn2InCu structure, from the Alexandria database.

Summary:
Spin magnetization: 0.00 μB per formula unit
DFT formation energy: 0.154 eV/atom

```
8
Lattice="-2.0174 2.0174 9.0568 2.0174 -2.0174 9.0568 2.0174 2.0174 -9.0568" Properties=species:S:1:pos:R:3 pbc="T T T"
Zn 3.0261 0.8185 -2.2642
Zn 0.8185 1.0087 2.2642
Zn -1.0087 1.1989 6.7926
Zn 1.1989 1.0087 11.3210
In 2.0174 0.0000 4.5284
In 0.0000 0.0000 9.0568
Cu 0.0000 0.0000 0.0000
Cu 0.0000 2.0174 4.5284
```

---

(11)
The following is a GGA-PBE calculation of a geometry-optimized ZnIn2Cu2 structure, from the Alexandria database.

Summary:
Energy above the most stable polymorph in this dataset: 0.0 meV per atom
Spin magnetization: 0.00 μB per formula unit
DFT formation energy: 0.082 eV/atom

```
10
Lattice="6.6772 0.0000 0.0000 0.0000 6.6772 0.0000 0.0000 0.0000 4.0299" Properties=species:S:1:pos:R:3 pbc="T T T"
Zn 0.0000 0.0000 0.0000
Zn 3.3386 3.3386 0.0000
In 1.1282 2.2104 2.0149
In 2.2104 5.5491 2.0149
In 4.4668 1.1282 2.0149
In 5.5491 4.4668 2.0149
Cu 0.8990 4.2376 0.0000
Cu 2.4396 0.8990 0.0000
Cu 4.2376 5.7782 0.0000
Cu 5.7782 2.4396 0.0000
```

---

(12)
The following is a GGA-PBE calculation of a geometry-optimized ZnInCu structure, from the Alexandria database.

Summary:
Spin magnetization: 0.00 μB per formula unit
DFT formation energy: 0.134 eV/atom

```
3
Lattice="3.1149 0.0000 0.0000 -1.5574 2.6975 0.0000 0.0000 0.0000 6.3836" Properties=species:S:1:pos:R:3 pbc="T T T"
Zn 0.0000 0.0000 0.0000
In 0.0000 1.7984 3.9845
Cu 1.5574 0.8992 1.8251
```

---

> Look up the spin magnetization of the second one.

0.00 μB per formula unit

---

> What is the DFT formation energy in the tenth record?

0.154 eV/atom